VASP calculation (PBE-GGA) on an optimized crystal structure of K3TiTl3O8.

The structure belongs to space group R-3m (No. 166, hexagonal axes); the cell edges are 6.7457, 6.7457 and 18.9187 Å and the angles 90.00°, 90.00° and 120.00°. The inequivalent atoms are K at (0.0000, 0.5000, 0.0000), Ti at (0.0000, 0.0000, 0.5000), Tl at (0.0000, 0.5000, 0.5000), O at (0.0000, 0.0000, 0.2298) and O at (0.0424, 0.5212, 0.2258).


VASP calculation (PBE-GGA) on an optimized crystal structure of K4Tm3TiO8.

The structure belongs to space group R-3m (No. 166, hexagonal axes); the cell edges are 6.7221, 6.7221 and 18.5779 Å and the angles 90.00°, 90.00° and 120.00°. The inequivalent atoms are K at (0.0000, 0.0000, 0.0000), K at (0.0000, 0.5000, 0.0000), Tm at (0.0000, 0.5000, 0.5000), Ti at (0.0000, 0.0000, 0.5000), O at (0.0000, 0.0000, 0.2286) and O at (0.0129, 0.5064, 0.2261).


VASP calculation (PBE-GGA) on an optimized crystal structure of K2Tm2TiO6.

The structure belongs to space group C2/m (No. 12); the cell edges are 5.682, 9.761 and 6.571 Å and the angles 90.00°, 105.62° and 90.00°. The inequivalent atoms are K at (0.000, 0.164, 0.000), Tm at (0.000, 0.335, 0.500), Ti at (0.000, 0.000, 0.500), O at (0.204, 0.155, 0.669) and O at (0.246, 0.000, 0.331).


VASP calculation (PBE-GGA) on an optimized crystal structure of K3Tm2TiO6.

The structure belongs to space group C2/m (No. 12); the cell edges are 5.756, 10.068 and 6.471 Å and the angles 90.00°, 107.15° and 90.00°. The inequivalent atoms are K at (0.000, 0.000, 0.000), K at (0.000, 0.337, 0.000), Tm at (0.000, 0.170, 0.500), Ti at (0.000, 0.500, 0.500), O at (0.224, 0.337, 0.684) and O at (0.250, 0.000, 0.671).


VASP calculation (PBE-GGA) on an optimized crystal structure of K3Tm3TiO8.

The structure belongs to space group R-3m (No. 166, hexagonal axes); the cell edges are 6.6283, 6.6283 and 18.8493 Å and the angles 90.00°, 90.00° and 120.00°. The inequivalent atoms are K at (0.0000, 0.5000, 0.0000), Tm at (0.0000, 0.5000, 0.5000), Ti at (0.0000, 0.0000, 0.5000), O at (0.0000, 0.0000, 0.2268) and O at (0.0302, 0.5151, 0.2231).


VASP calculation (PBE-GGA) on an optimized crystal structure of KTmTiO4.

The structure belongs to space group P2_1/m (No. 11); the cell edges are 5.859, 5.962 and 7.474 Å and the angles 90.00°, 109.44° and 90.00°. The inequivalent atoms are K at (0.183, 0.250, 0.435), Tm at (0.317, 0.250, 0.960), Ti at (0.228, 0.750, 0.159), O at (0.003, 0.750, 0.930), O at (0.024, 0.750, 0.298) and O at (0.452, 0.523, 0.169).


Uncorrected formation energy: -1.4044; -2.6555; -2.8988; -2.6125; -2.8830; -2.9477 (eV per atom)